Entry 1:
A plane-wave DFT calculation with PBE was carried out for a relaxed structure of Zn2SnAs.

POSCAR file:
```
Zn2SnAs
1.0
0.0000 3.4206 3.4206
3.4206 0.0000 3.4206
3.4206 3.4206 0.0000
Zn Sn As
2 1 1
Direct
0.2500 0.2500 0.2500
0.7500 0.7500 0.7500
0.0000 0.0000 0.0000
0.5000 0.5000 0.5000
```

Crystal system   cubic
Volume   20.0 Å³/atom
DFT formation energy   0.22 eV per atom
SG   Fm-3m (225)
Electronic total energy   -2.58 eV per atom

---

Entry 2:
A plane-wave DFT calculation with PBE was carried out for a relaxed structure of AcAgGe2Pt5.

POSCAR file:
```
AcAgGe2Pt5
1.0
4.2900 0.0000 0.0000
0.0000 4.2900 0.0000
0.0000 0.0000 9.3758
Ac Ag Ge Pt
1 1 2 5
Direct
0.0000 0.0000 0.0000
0.0000 0.0000 0.5000
0.5000 0.5000 0.3713
0.5000 0.5000 0.6287
0.0000 0.5000 0.2417
0.0000 0.5000 0.7583
0.5000 0.0000 0.2417
0.5000 0.0000 0.7583
0.5000 0.5000 0.0000
```

Crystal system   tetragonal
Volume   19.2 Å³/atom
DFT formation energy   -0.47 eV per atom
SG   P4/mmm (123)
Electronic total energy   -5.62 eV per atom

---

The evaluated density of states at the Fermi level for the records listed, in turn: 1.93, 2.79 states/eV/cell.